Record 1
Density functional theory data (PBE) for a geometry-optimized K3Na3MnI8 structure.

Formation energy from raw total energies ... -1.17 eV per atom
Density of states at the Fermi level ... 0.000 states/eV/atom
Theoretical density ... 3.36 Mg/m³
Total magnetization ... 0.3333 μB/atom
Energy ... -3.09 eV/atom

```
data_K3Na3MnI8
_cell_length_a 9.3875
_cell_length_b 9.3875
_cell_length_c 24.4221
_cell_angle_alpha 90.00
_cell_angle_beta 90.00
_cell_angle_gamma 120.00
_space_group_name_H-M_alt 'R -3 m'
_space_group_IT_number 166
_space_group_name_Hall '-R 3 2"'
loop_
_atom_site_label
_atom_site_type_symbol
_atom_site_fract_x
_atom_site_fract_y
_atom_site_fract_z
_atom_site_occupancy
K1 K 0.0000 0.5000 0.0000 1
Na1 Na 0.0000 0.5000 0.5000 1
Mn1 Mn 0.0000 0.0000 0.5000 1
I1 I 0.0000 0.0000 0.2412 1
I2 I 0.0313 0.5156 0.2349 1
```

---

Record 2
Density functional theory data (PBE) for a geometry-optimized ScPa2Cu6 structure.

Formation enthalpy at 0 K ... -0.102 eV/atom
Density of states at the Fermi level ... 0.793 states/eV/atom
Theoretical density ... 9.74 Mg/m³
Total magnetization ... 0.0596 μB/atom
Energy ... -5.65 eV/atom

```
data_ScPa2Cu6
_cell_length_a 7.5429
_cell_length_b 7.5429
_cell_length_c 3.0722
_cell_angle_alpha 90.00
_cell_angle_beta 90.00
_cell_angle_gamma 120.00
_space_group_name_H-M_alt 'P 6/m m m'
_space_group_IT_number 191
_space_group_name_Hall '-P 6 2'
loop_
_atom_site_label
_atom_site_type_symbol
_atom_site_fract_x
_atom_site_fract_y
_atom_site_fract_z
_atom_site_occupancy
Sc1 Sc 0.0000 0.0000 0.0000 1
Pa1 Pa 0.3333 0.6667 0.0000 1
Cu1 Cu 0.0000 0.3291 0.5000 1
```

---

Please write out number 1 again, unchanged.
Density functional theory data (PBE) for a geometry-optimized K3Na3MnI8 structure.

Formation energy from raw total energies ... -1.17 eV per atom
Density of states at the Fermi level ... 0.000 states/eV/atom
Theoretical density ... 3.36 Mg/m³
Total magnetization ... 0.3333 μB/atom
Energy ... -3.09 eV/atom

```
data_K3Na3MnI8
_cell_length_a 9.3875
_cell_length_b 9.3875
_cell_length_c 24.4221
_cell_angle_alpha 90.00
_cell_angle_beta 90.00
_cell_angle_gamma 120.00
_space_group_name_H-M_alt 'R -3 m'
_space_group_IT_number 166
_space_group_name_Hall '-R 3 2"'
loop_
_atom_site_label
_atom_site_type_symbol
_atom_site_fract_x
_atom_site_fract_y
_atom_site_fract_z
_atom_site_occupancy
K1 K 0.0000 0.5000 0.0000 1
Na1 Na 0.0000 0.5000 0.5000 1
Mn1 Mn 0.0000 0.0000 0.5000 1
I1 I 0.0000 0.0000 0.2412 1
I2 I 0.0313 0.5156 0.2349 1
```